Here is crystalline Sr2PWF at its relaxed geometry from Alexandria. Energies are from PBE+U.

a = 4.741 Å, b = 4.741 Å, c = 5.709 Å
α = 90.00°, β = 90.00°, γ = 90.00°
Positions (direct):
Sr  0.000  0.500  0.000
Sr  0.500  0.000  0.000
P  0.000  0.000  0.500
W  0.500  0.500  0.500
F  0.000  0.000  0.000

Computed properties:
Symmetry ... P4/mmm
Density of states at the Fermi level ... 2.29 states/eV/cell
Raw total energy ... -3.977 eV per atom
Spin magnetization ... 3.98 μB per cell